Below is a relaxed NaOsO2 crystal, with properties calculated at the GGA-PBE level.

a b c (Å): 5.397 5.397 5.397
angles (deg): 90.00 90.00 90.00
Fractional coordinates of all 16 atoms:
1 Na 0.000 0.000 0.000
2 Na 0.000 0.500 0.500
3 Na 0.500 0.000 0.500
4 Na 0.500 0.500 0.000
5 Os 0.000 0.000 0.500
6 Os 0.000 0.500 0.000
7 Os 0.500 0.000 0.000
8 Os 0.500 0.500 0.500
9 O 0.250 0.250 0.250
10 O 0.250 0.250 0.750
11 O 0.250 0.750 0.250
12 O 0.250 0.750 0.750
13 O 0.750 0.250 0.250
14 O 0.750 0.250 0.750
15 O 0.750 0.750 0.250
16 O 0.750 0.750 0.750

Computed properties:
For the energy relative to the elements, uncorrected, the calculation gives -0.5 eV per formula unit. The crystal system is cubic. As for the magnetization: 0.00 μB per formula unit. The value obtained for the theoretical density is 10.36 g cm⁻³.


Below is a relaxed Na5OsO5 crystal, with properties calculated at the GGA-PBE level.

a b c (Å): 5.820 5.820 6.441
angles (deg): 107.15 107.15 44.71
Fractional coordinates of all 11 atoms:
1 Na 0.000 0.000 0.000
2 Na 0.306 0.306 0.181
3 Na 0.323 0.323 0.641
4 Na 0.677 0.677 0.359
5 Na 0.694 0.694 0.819
6 Os 0.000 0.000 0.500
7 O 0.132 0.132 0.345
8 O 0.142 0.142 0.790
9 O 0.500 0.500 0.500
10 O 0.858 0.858 0.210
11 O 0.868 0.868 0.655

Computed properties:
For the energy relative to the elements, uncorrected, the calculation gives -14.2 eV per formula unit. The crystal system is monoclinic. As for the magnetization: 3.00 μB per formula unit. The value obtained for the theoretical density is 4.40 g cm⁻³.


Below is a relaxed NaOsO4 crystal, with properties calculated at the GGA-PBE level.

a b c (Å): 7.183 7.183 7.183
angles (deg): 136.06 136.06 63.89
Fractional coordinates of all 12 atoms:
1 Na 0.375 0.125 0.250
2 Na 0.625 0.875 0.750
3 Os 0.125 0.375 0.750
4 Os 0.875 0.625 0.250
5 O 0.055 0.211 0.365
6 O 0.190 0.555 0.344
7 O 0.289 0.153 0.844
8 O 0.347 0.690 0.135
9 O 0.653 0.310 0.865
10 O 0.711 0.847 0.156
11 O 0.810 0.445 0.656
12 O 0.945 0.789 0.635

Computed properties:
For the energy relative to the elements, uncorrected, the calculation gives -7.3 eV per formula unit. The crystal system is tetragonal. As for the magnetization: 0.97 μB per formula unit. The calculation puts the excess energy over the best structure of this formula in the dataset at 0 meV/atom. The value obtained for the theoretical density is 5.23 g cm⁻³.


Below is a relaxed NaOsO3 crystal, with properties calculated at the GGA-PBE level.

a b c (Å): 10.592 10.592 10.592
angles (deg): 159.50 159.50 29.15
Fractional coordinates of all 10 atoms:
1 Na 0.109 0.109 0.000
2 Na 0.891 0.891 0.000
3 Os 0.500 0.500 0.000
4 Os 0.750 0.250 0.500
5 O 0.000 0.500 0.500
6 O 0.108 0.328 0.780
7 O 0.500 0.000 0.500
8 O 0.548 0.328 0.220
9 O 0.672 0.452 0.780
10 O 0.672 0.892 0.220

Computed properties:
For the energy relative to the elements, uncorrected, the calculation gives -3.0 eV per formula unit. The crystal system is tetragonal. As for the magnetization: 0.10 μB per formula unit. The value obtained for the theoretical density is 5.95 g cm⁻³.


Below is a relaxed Na2OsO3 crystal, with properties calculated at the GGA-PBE level.

a b c (Å): 5.942 5.942 15.278
angles (deg): 92.43 92.43 137.03
Fractional coordinates of all 24 atoms:
1 Na 0.127 0.839 0.968
2 Na 0.161 0.873 0.532
3 Na 0.367 0.402 0.348
4 Na 0.402 0.367 0.848
5 Na 0.598 0.633 0.152
6 Na 0.633 0.598 0.652
7 Na 0.839 0.127 0.468
8 Na 0.873 0.161 0.032
9 Os 0.066 0.681 0.319
10 Os 0.319 0.934 0.181
11 Os 0.681 0.066 0.819
12 Os 0.934 0.319 0.681
13 O 0.062 0.169 0.607
14 O 0.169 0.062 0.107
15 O 0.282 0.705 0.417
16 O 0.295 0.718 0.083
17 O 0.339 0.661 0.250
18 O 0.352 0.648 0.750
19 O 0.648 0.352 0.250
20 O 0.661 0.339 0.750
21 O 0.705 0.282 0.917
22 O 0.718 0.295 0.583
23 O 0.831 0.938 0.893
24 O 0.938 0.831 0.393

Computed properties:
For the energy relative to the elements, uncorrected, the calculation gives -6.9 eV per formula unit. The crystal system is monoclinic. As for the magnetization: 0.00 μB per formula unit. The value obtained for the theoretical density is 5.17 g cm⁻³.


Below is a relaxed NaOsO3 crystal, with properties calculated at the GGA-PBE level.

a b c (Å): 3.506 6.577 8.153
angles (deg): 90.00 90.00 90.00
Fractional coordinates of all 10 atoms:
1 Na 0.000 0.000 0.000
2 Na 0.000 0.500 0.500
3 Os 0.500 0.000 0.611
4 Os 0.500 0.500 0.111
5 O 0.000 0.000 0.711
6 O 0.000 0.500 0.211
7 O 0.500 0.238 0.062
8 O 0.500 0.262 0.562
9 O 0.500 0.738 0.562
10 O 0.500 0.762 0.062

Computed properties:
For the energy relative to the elements, uncorrected, the calculation gives -5.3 eV per formula unit. The crystal system is orthorhombic. As for the magnetization: 0.00 μB per formula unit. The value obtained for the theoretical density is 4.61 g cm⁻³.


Below is a relaxed NaOsO3 crystal, with properties calculated at the GGA-PBE level.

a b c (Å): 3.810 3.810 3.810
angles (deg): 90.00 90.00 90.00
Fractional coordinates of all 5 atoms:
1 Na 0.000 0.000 0.000
2 Os 0.500 0.500 0.500
3 O 0.000 0.000 0.500
4 O 0.000 0.500 0.000
5 O 0.500 0.000 0.000

Computed properties:
For the energy relative to the elements, uncorrected, the calculation gives 6.9 eV per formula unit. The crystal system is cubic. As for the magnetization: 1.71 μB per formula unit. The value obtained for the theoretical density is 7.84 g cm⁻³.


Below is a relaxed NaOsO3 crystal, with properties calculated at the GGA-PBE level.

a b c (Å): 7.248 7.248 7.248
angles (deg): 60.00 60.00 60.00
Fractional coordinates of all 20 atoms:
1 Na 0.000 0.000 0.000
2 Na 0.000 0.000 0.500
3 Na 0.000 0.500 0.000
4 Na 0.500 0.000 0.000
5 Os 0.000 0.500 0.500
6 Os 0.500 0.000 0.500
7 Os 0.500 0.500 0.000
8 Os 0.500 0.500 0.500
9 O 0.179 0.179 0.571
10 O 0.179 0.571 0.179
11 O 0.179 0.571 0.571
12 O 0.429 0.429 0.821
13 O 0.429 0.821 0.429
14 O 0.429 0.821 0.821
15 O 0.571 0.179 0.179
16 O 0.571 0.179 0.571
17 O 0.571 0.571 0.179
18 O 0.821 0.429 0.429
19 O 0.821 0.429 0.821
20 O 0.821 0.821 0.429

Computed properties:
For the energy relative to the elements, uncorrected, the calculation gives -6.0 eV per formula unit. The crystal system is cubic. As for the magnetization: 0.35 μB per formula unit. The value obtained for the theoretical density is 6.44 g cm⁻³.